1.
VASP calculation (GGA-PBE) on CuBi2S3 after structural relaxation.

Results
VASP energy = -4.2101 eV/atom
crystal system = orthorhombic
formation energy without anion corrections = -0.170 eV per atom
space-group type = Cmc2_1, No. 36

Cell: 7.490 7.490 6.015 Å, 90.00 90.00 69.75°
Positions (direct):
Cu: 0.169 0.831 0.500
Cu: 0.831 0.169 0.000
Bi: 0.196 0.534 0.049
Bi: 0.466 0.804 0.049
Bi: 0.534 0.196 0.549
Bi: 0.804 0.466 0.549
S: 0.092 0.908 0.131
S: 0.156 0.540 0.611
S: 0.460 0.844 0.611
S: 0.540 0.156 0.111
S: 0.844 0.460 0.111
S: 0.908 0.092 0.631


2.
VASP calculation (GGA-PBE) on TbDy8Ho2 after structural relaxation.

Results
VASP energy = -4.4379 eV/atom
formation enthalpy at 0 K = 0.162 eV per atom
crystal system = monoclinic
space-group type = C2/m, No. 12

Cell: 10.057 10.057 5.534 Å, 92.83 92.83 40.13°
Positions (direct):
Tb: 0.000 0.000 0.000
Dy: 0.134 0.602 0.268
Dy: 0.188 0.188 0.232
Dy: 0.398 0.866 0.732
Dy: 0.454 0.454 0.764
Dy: 0.546 0.546 0.236
Dy: 0.602 0.134 0.268
Dy: 0.812 0.812 0.768
Dy: 0.866 0.398 0.732
Ho: 0.284 0.284 0.748
Ho: 0.716 0.716 0.252


3.
VASP calculation (GGA-PBE) on Hf2Ga4Rh after structural relaxation.

Results
VASP energy = -5.9624 eV/atom
formation enthalpy at 0 K = -0.339 eV per atom
crystal system = monoclinic
space-group type = Cm, No. 8

Cell: 5.413 5.413 5.411 Å, 111.75 111.75 100.89°
Positions (direct):
Hf: 0.201 0.799 0.000
Hf: 0.799 0.201 0.000
Ga: 0.293 0.721 0.492
Ga: 0.294 0.294 0.956
Ga: 0.635 0.635 0.900
Ga: 0.721 0.293 0.492
Rh: 0.842 0.842 0.473


4.
VASP calculation (GGA-PBE) on CaAc2RhO5 after structural relaxation.

Results
VASP energy = -7.1102 eV/atom
crystal system = tetragonal
formation energy without anion corrections = -2.403 eV per atom
space-group type = P4/mbm, No. 127

Cell: 7.111 7.111 5.871 Å, 90.00 90.00 90.00°
Positions (direct):
Ca: 0.000 0.000 0.000
Ca: 0.500 0.500 0.000
Ac: 0.173 0.327 0.500
Ac: 0.327 0.827 0.500
Ac: 0.673 0.173 0.500
Ac: 0.827 0.673 0.500
Rh: 0.000 0.500 0.000
Rh: 0.500 0.000 0.000
O: 0.000 0.000 0.500
O: 0.143 0.643 0.237
O: 0.143 0.643 0.763
O: 0.357 0.143 0.237
O: 0.357 0.143 0.763
O: 0.500 0.500 0.500
O: 0.643 0.857 0.237
O: 0.643 0.857 0.763
O: 0.857 0.357 0.237
O: 0.857 0.357 0.763


5.
VASP calculation (GGA-PBE) on PbSeF2 after structural relaxation.

Results
VASP energy = -3.7934 eV/atom
crystal system = tetragonal
formation energy without anion corrections = -1.060 eV per atom
space-group type = I-42d, No. 122

Cell: 7.351 7.351 7.351 Å, 125.32 125.32 81.01°
Positions (direct):
Pb: 0.000 0.000 0.000
Pb: 0.750 0.250 0.500
Se: 0.250 0.750 0.500
Se: 0.500 0.500 0.000
F: 0.375 0.242 0.367
F: 0.758 0.125 0.133
F: 0.875 0.008 0.633
F: 0.992 0.625 0.867


6.
VASP calculation (GGA-PBE) on NaTa4Te8 after structural relaxation.

Results
VASP energy = -6.0496 eV/atom
crystal system = trigonal
formation energy without anion corrections = -0.368 eV per atom
space-group type = R-3m, No. 166

Cell: 9.610 9.610 9.610 Å, 45.27 45.27 45.27°
Positions (direct):
Na: 0.000 0.000 0.000
Ta: 0.000 0.000 0.500
Ta: 0.000 0.500 0.000
Ta: 0.500 0.000 0.000
Ta: 0.500 0.500 0.500
Te: 0.237 0.237 0.237
Te: 0.238 0.737 0.737
Te: 0.263 0.263 0.762
Te: 0.263 0.762 0.263
Te: 0.737 0.238 0.737
Te: 0.737 0.737 0.238
Te: 0.762 0.263 0.263
Te: 0.763 0.763 0.763


7.
VASP calculation (GGA-PBE) on Mg2TlNiGe after structural relaxation.

Results
VASP energy = -3.2726 eV/atom
formation enthalpy at 0 K = -0.082 eV per atom
crystal system = tetragonal
space-group type = P4/mmm, No. 123

Cell: 4.993 4.993 4.420 Å, 90.00 90.00 90.00°
Positions (direct):
Mg: 0.000 0.500 0.000
Mg: 0.500 0.000 0.000
Tl: 0.000 0.000 0.500
Ni: 0.500 0.500 0.000
Ge: 0.500 0.500 0.500


8.
VASP calculation (GGA-PBE) on AcErPdSe3 after structural relaxation.

Results
VASP energy = -5.6786 eV/atom
crystal system = monoclinic
formation energy without anion corrections = -1.626 eV per atom
space-group type = P2_1/m, No. 11

Cell: 8.118 4.136 9.380 Å, 90.00 104.32 90.00°
Positions (direct):
Ac: 0.201 0.250 0.271
Ac: 0.799 0.750 0.729
Er: 0.314 0.750 0.827
Er: 0.686 0.250 0.173
Pd: 0.091 0.250 0.601
Pd: 0.909 0.750 0.399
Se: 0.088 0.250 0.874
Se: 0.270 0.750 0.525
Se: 0.430 0.750 0.148
Se: 0.570 0.250 0.852
Se: 0.730 0.250 0.475
Se: 0.912 0.750 0.126


- VASP energy of number 6 (NaTa4Te8)?
  -6.0496 eV/atom


Repeat the fifth record exactly.
VASP calculation (GGA-PBE) on PbSeF2 after structural relaxation.

Results
VASP energy = -3.7934 eV/atom
crystal system = tetragonal
formation energy without anion corrections = -1.060 eV per atom
space-group type = I-42d, No. 122

Cell: 7.351 7.351 7.351 Å, 125.32 125.32 81.01°
Positions (direct):
Pb: 0.000 0.000 0.000
Pb: 0.750 0.250 0.500
Se: 0.250 0.750 0.500
Se: 0.500 0.500 0.000
F: 0.375 0.242 0.367
F: 0.758 0.125 0.133
F: 0.875 0.008 0.633
F: 0.992 0.625 0.867


Please write out number 1 again, unchanged.
VASP calculation (GGA-PBE) on CuBi2S3 after structural relaxation.

Results
VASP energy = -4.2101 eV/atom
crystal system = orthorhombic
formation energy without anion corrections = -0.170 eV per atom
space-group type = Cmc2_1, No. 36

Cell: 7.490 7.490 6.015 Å, 90.00 90.00 69.75°
Positions (direct):
Cu: 0.169 0.831 0.500
Cu: 0.831 0.169 0.000
Bi: 0.196 0.534 0.049
Bi: 0.466 0.804 0.049
Bi: 0.534 0.196 0.549
Bi: 0.804 0.466 0.549
S: 0.092 0.908 0.131
S: 0.156 0.540 0.611
S: 0.460 0.844 0.611
S: 0.540 0.156 0.111
S: 0.844 0.460 0.111
S: 0.908 0.092 0.631